# 1
Tb2PrSm6Th, relaxed, DFT GGA-PBE; energy relative to the elements = 0.147 eV/atom; crystal system = monoclinic
1.0
9.298 -2.166 -2.247
0.830 8.586 -1.911
0.830 -2.228 8.510
Tb Pr Sm Th
4 2 12 2
Direct
0.451 0.804 0.713 Tb
0.049 0.287 0.196 Tb
0.549 0.196 0.287 Tb
0.951 0.713 0.804 Tb
0.250 0.404 0.596 Pr
0.750 0.596 0.404 Pr
0.058 0.110 0.756 Sm
0.442 0.244 0.890 Sm
0.942 0.890 0.244 Sm
0.558 0.756 0.110 Sm
0.317 0.980 0.422 Sm
0.183 0.578 0.020 Sm
0.683 0.020 0.578 Sm
0.817 0.422 0.980 Sm
0.120 0.702 0.488 Sm
0.380 0.512 0.298 Sm
0.880 0.298 0.512 Sm
0.620 0.488 0.702 Sm
0.250 0.972 0.028 Th
0.750 0.028 0.972 Th

***

# 2
TbPr2SmTl2, relaxed, DFT GGA-PBE; energy relative to the elements = -0.272 eV/atom; crystal system = orthorhombic
1.0
-2.573 -4.187 1.781
5.901 -2.484 2.685
-1.935 4.944 8.826
Tb Pr Sm Tl
2 4 2 4
Direct
0.500 0.182 0.685 Tb
0.500 0.682 0.315 Tb
0.500 0.058 0.045 Pr
0.000 0.328 0.185 Pr
0.500 0.558 0.955 Pr
0.000 0.828 0.815 Pr
0.000 0.961 0.457 Sm
0.000 0.461 0.543 Sm
0.000 0.297 0.855 Tl
0.500 0.219 0.374 Tl
0.000 0.797 0.145 Tl
0.500 0.719 0.626 Tl

***

# 3
TbPrSmTl, relaxed, DFT GGA-PBE; energy relative to the elements = -0.194 eV/atom; crystal system = orthorhombic
1.0
-0.750 4.873 -0.885
-0.614 -0.959 -4.760
-4.848 -0.610 0.748
Tb Pr Sm Tl
1 1 1 1
Direct
0.000 0.000 0.000 Tb
0.500 0.500 0.000 Pr
0.500 0.000 0.500 Sm
0.000 0.500 0.500 Tl

***

# 4
Tb2Pr3Sm6Tl, relaxed, DFT GGA-PBE; energy relative to the elements = -0.012 eV/atom; crystal system = monoclinic
1.0
-1.483 1.080 -5.989
-1.932 -5.247 2.824
-8.616 6.851 4.479
Tb Pr Sm Tl
2 3 6 1
Direct
0.334 0.666 0.000 Tb
0.666 0.334 0.000 Tb
0.169 0.831 0.500 Pr
0.831 0.169 0.500 Pr
0.500 0.500 0.500 Pr
0.920 0.593 0.757 Sm
0.754 0.754 0.245 Sm
0.080 0.407 0.243 Sm
0.593 0.920 0.757 Sm
0.246 0.246 0.755 Sm
0.407 0.080 0.243 Sm
0.000 0.000 0.000 Tl

***

# 5
Tb6Pr3Sm2Tl, relaxed, DFT GGA-PBE; energy relative to the elements = -0.021 eV/atom; crystal system = monoclinic
1.0
6.197 -0.003 -0.004
-3.100 5.366 -0.004
-1.031 -1.786 11.668
Tb Pr Sm Tl
6 3 2 1
Direct
0.919 0.592 0.755 Tb
0.754 0.754 0.246 Tb
0.081 0.408 0.245 Tb
0.592 0.919 0.755 Tb
0.246 0.246 0.754 Tb
0.408 0.081 0.245 Tb
0.168 0.832 0.500 Pr
0.832 0.168 0.500 Pr
0.500 0.500 0.500 Pr
0.334 0.666 0.000 Sm
0.666 0.334 0.000 Sm
0.000 0.000 0.000 Tl

***

# 6
TbPrSm2Tl4, relaxed, DFT GGA-PBE; energy relative to the elements = -0.371 eV/atom; crystal system = trigonal
1.0
5.468 0.000 0.000
2.734 4.735 0.000
2.734 1.578 8.944
Tb Pr Sm Tl
1 1 2 4
Direct
0.500 0.500 0.500 Tb
0.000 0.000 0.000 Pr
0.750 0.750 0.749 Sm
0.250 0.250 0.251 Sm
0.377 0.377 0.870 Tl
0.874 0.874 0.379 Tl
0.126 0.126 0.621 Tl
0.623 0.623 0.130 Tl

***

# 7
TbPrSm2Tl2, relaxed, DFT GGA-PBE; energy relative to the elements = -0.270 eV/atom; crystal system = orthorhombic
1.0
5.221 0.000 0.000
0.000 6.912 0.000
0.000 0.000 10.217
Tb Pr Sm Tl
2 2 4 4
Direct
0.500 0.183 0.689 Tb
0.500 0.683 0.311 Tb
0.000 0.959 0.457 Pr
0.000 0.459 0.543 Pr
0.500 0.053 0.045 Sm
0.000 0.332 0.182 Sm
0.500 0.553 0.955 Sm
0.000 0.832 0.818 Sm
0.000 0.297 0.863 Tl
0.500 0.222 0.365 Tl
0.000 0.797 0.137 Tl
0.500 0.722 0.635 Tl

***

# 8
TbPrSmTl, relaxed, DFT GGA-PBE; energy relative to the elements = -0.059 eV/atom; crystal system = cubic
1.0
5.589 0.000 0.000
2.794 4.840 0.000
2.794 1.613 4.563
Pr Tl Tb Sm
1 1 1 1
Direct
0.250 0.250 0.250 Pr
0.000 0.000 0.000 Tl
0.500 0.500 0.500 Tb
0.750 0.750 0.750 Sm